(1)
The following is a DFT calculation (PBE-GGA) of a relaxed TcAg4Te crystal.

Lattice parameters (Å, degrees): 7.8284 7.8284 7.8284 90.00 90.00 90.00
Space group F-43m (No. 216)
One atom of each set of equivalent atoms:
Tc 0.0000 0.0000 0.0000 [4 per cell]
Ag 0.1255 0.1255 0.3745 [16 per cell]
Te 0.2500 0.2500 0.7500 [4 per cell]

Computed properties:
V in Å³/f.u.: 120
Final energy in eV/atom: -3.5717

---

(2)
The following is a DFT calculation (PBE-GGA) of a relaxed KCu2TeS4 crystal.

Lattice parameters (Å, degrees): 6.3271 7.7601 8.6262 90.00 90.00 90.00
Space group I222 (No. 23)
One atom of each set of equivalent atoms:
K 0.0000 0.0000 0.0000 [2 per cell]
Cu 0.0000 0.5000 0.1615 [4 per cell]
Te 0.0000 0.0000 0.5000 [2 per cell]
S 0.2353 0.1750 0.3280 [8 per cell]

Computed properties:
V in Å³/f.u.: 212
Final energy in eV/atom: -3.8187